Entry 1:
A relaxed structure of NiSn2Bi. Source: Alexandria, functional GGA-PBE.

```
NiSn2Bi
1.0
5.575 0.000 0.000
0.000 5.575 0.000
2.788 2.788 7.592
Ni Bi Sn
2 2 4
Direct
0.500 0.500 0.000
0.250 0.750 0.500
0.000 0.000 0.000
0.750 0.250 0.500
0.526 0.125 0.250
0.224 0.625 0.250
0.375 0.474 0.750
0.875 0.776 0.750
```

Properties
Formation energy: 0.17 eV per atom

Entry 2:
A relaxed structure of SrCr4Pb. Source: Alexandria, functional GGA-PBE.

```
SrCr4Pb
1.0
0.000 3.735 3.735
3.735 0.000 3.735
3.735 3.735 0.000
Sr Cr Pb
1 4 1
Direct
0.000 0.000 0.000
0.841 0.386 0.386
0.386 0.386 0.841
0.386 0.841 0.386
0.386 0.386 0.386
0.750 0.750 0.750
```

Properties
Formation energy: 0.82 eV per atom

Entry 3:
A relaxed structure of MnNiPd4. Source: Alexandria, functional GGA-PBE.

```
MnNiPd4
1.0
3.777 0.171 2.090
1.070 3.626 2.090
2.348 1.840 8.575
Mn Ni Pd
1 1 4
Direct
0.000 0.000 0.000
0.500 0.500 0.500
0.525 0.525 0.142
0.475 0.475 0.858
0.030 0.030 0.637
0.970 0.970 0.363
```

Properties
Formation energy: -0.05 eV per atom
Distance to the lowest polymorph of the same formula: 0 kJ/mol of formula units

Entry 4:
A relaxed structure of Ho2TlPd9. Source: Alexandria, functional GGA-PBE.

```
Ho2TlPd9
1.0
-2.213 3.031 1.676
-2.757 -0.338 -3.029
-6.268 -8.237 6.626
Ho Tl Pd
2 1 9
Direct
0.000 0.000 0.331
0.000 0.000 0.669
0.000 0.000 0.000
0.500 0.500 0.000
0.500 0.500 0.333
0.500 0.500 0.667
0.500 0.000 0.166
0.500 0.000 0.500
0.500 0.000 0.834
0.000 0.500 0.166
0.000 0.500 0.500
0.000 0.500 0.834
```

Properties
Formation energy: -0.66 eV per atom

Entry 5:
A relaxed structure of La4TbNd3. Source: Alexandria, functional GGA-PBE.

```
La4TbNd3
1.0
3.512 0.000 -0.443
-0.082 6.288 -0.651
-0.144 0.488 12.999
Nd Tb La
3 1 4
Direct
0.000 0.500 0.000
0.144 0.742 0.287
0.856 0.258 0.713
0.500 0.000 0.000
0.720 0.244 0.440
0.280 0.756 0.560
0.105 0.232 0.210
0.895 0.768 0.790
```

Properties
Formation energy: 0.19 eV per atom
Distance to the lowest polymorph of the same formula: 0 kJ/mol of formula units

Entry 6:
A relaxed structure of Mg2MnTl3Cl9. Source: Alexandria, functional GGA-PBE.

```
Mg2MnTl3Cl9
1.0
-0.386 -5.705 4.244
5.928 1.263 -3.738
3.171 4.710 6.620
Mg Mn Tl Cl
2 1 3 9
Direct
0.333 0.667 0.165
0.667 0.333 0.835
0.000 0.000 0.500
0.333 0.667 0.664
0.000 0.000 0.000
0.667 0.333 0.336
0.833 0.167 0.667
0.833 0.666 0.667
0.334 0.167 0.667
0.666 0.833 0.333
0.167 0.334 0.333
0.167 0.833 0.333
0.500 0.000 0.000
0.000 0.500 0.000
0.500 0.500 0.000
```

Properties
ΔE_f (raw): -20.262 eV per formula unit

Entry 7:
A relaxed structure of YAuIN2. Source: Alexandria, functional GGA-PBE.

```
YAuIN2
1.0
4.340 0.000 0.000
0.000 4.340 0.000
0.000 0.000 5.230
I Y Au N
1 1 1 2
Direct
0.000 0.000 0.500
0.500 0.500 0.500
0.000 0.000 0.000
0.000 0.500 0.000
0.500 0.000 0.000
```

Properties
ΔE_f (raw): 6.118 eV per formula unit
Distance to the lowest polymorph of the same formula: 195 kJ/mol of formula units

Entry 8:
A relaxed structure of MoP2Os. Source: Alexandria, functional GGA-PBE.

```
MoP2Os
1.0
-1.521 4.668 1.725
-0.277 1.238 5.047
3.237 -2.167 -3.450
Mo Os P
1 1 2
Direct
0.500 0.500 0.000
0.750 0.250 0.500
0.000 0.000 0.000
0.250 0.750 0.500
```

Properties
Formation energy: 0.18 eV per atom
Distance to the lowest polymorph of the same formula: 163 kJ/mol of formula units

Entry 9:
A relaxed structure of CuTePbN2. Source: Alexandria, functional GGA-PBE.

```
CuTePbN2
1.0
4.314 0.000 0.000
0.000 4.314 0.000
0.000 0.000 6.386
Pb Te Cu N
1 1 1 2
Direct
0.000 0.000 0.000
0.000 0.000 0.500
0.500 0.500 0.500
0.000 0.500 0.000
0.500 0.000 0.000
```

Properties
ΔE_f (raw): 8.760 eV per formula unit
Distance to the lowest polymorph of the same formula: 151 kJ/mol of formula units

Entry 10:
A relaxed structure of Ba2ErInSe5. Source: Alexandria, functional GGA-PBE.

```
Ba2ErInSe5
1.0
-0.500 7.034 -6.830
-3.709 -6.851 5.975
-1.560 9.268 9.659
Ba Er In Se
4 2 2 10
Direct
0.868 0.132 0.187
0.132 0.868 0.687
0.881 0.119 0.820
0.119 0.881 0.320
0.789 0.211 0.482
0.211 0.789 0.982
0.555 0.445 0.063
0.445 0.555 0.563
0.646 0.354 0.500
0.354 0.646 0.000
0.709 0.291 0.844
0.291 0.709 0.344
0.689 0.311 0.129
0.311 0.689 0.629
0.496 0.504 0.233
0.504 0.496 0.733
0.947 0.053 0.449
0.053 0.947 0.949
```

Properties
ΔE_f (raw): -14.656 eV per formula unit

Entry 11:
A relaxed structure of TaAl2Tc. Source: Alexandria, functional GGA-PBE.

```
TaAl2Tc
1.0
4.934 0.000 0.000
1.830 4.583 0.000
-3.382 -2.291 2.768
Al Tc Ta
2 1 1
Direct
0.000 0.000 0.000
0.500 0.500 0.000
0.750 0.250 0.500
0.250 0.750 0.500
```

Properties
Formation energy: -0.19 eV per atom
Distance to the lowest polymorph of the same formula: 75 kJ/mol of formula units

Entry 12:
A relaxed structure of Y2Tl2Co. Source: Alexandria, functional GGA-PBE.

```
Y2Tl2Co
1.0
-3.257 5.271 3.896
2.676 -2.902 6.163
3.737 2.603 -0.397
Y Tl Co
4 4 2
Direct
0.168 0.668 0.500
0.668 0.832 0.500
0.832 0.332 0.500
0.332 0.168 0.500
0.355 0.855 0.000
0.855 0.645 0.000
0.645 0.145 0.000
0.145 0.355 0.000
0.000 0.000 0.000
0.500 0.500 0.000
```

Properties
Formation energy: 0.00 eV per atom

Entry 13:
A relaxed structure of SrIn5. Source: Alexandria, functional GGA-PBE.

```
SrIn5
1.0
-1.810 -2.750 5.207
-1.746 -2.275 -5.453
4.530 -3.200 -0.116
In Sr
5 1
Direct
0.333 0.667 0.000
0.667 0.333 0.000
0.500 0.000 0.500
0.000 0.500 0.500
0.500 0.500 0.500
0.000 0.000 0.000
```

Properties
Formation energy: -0.13 eV per atom
Distance to the lowest polymorph of the same formula: 50 kJ/mol of formula units